# 1
Here is CeTeSe after structural relaxation from Alexandria via LeMat-Bulk. Energies are from PBE-GGA.

abc: 3.9133 3.9133 5.8393
angles: 109.58 109.58 90.00
With the nearest neighbours (Å) after each atom.
Fractional positions:
Te1 0.0117 0.0117 0.0235  1 Se 3.05, 5 Ce 3.26-3.41
Ce1 0.6799 0.6799 0.3598  4 Se 3.07, 5 Te 3.26-3.41
Se1 0.3083 0.3083 0.6167  1 Te 3.05, 4 Ce 3.07

Computed properties:
Crystal system: tetragonal
SG: I4mm (107)

=====

# 2
Here is BaWSe2 after structural relaxation from Alexandria via LeMat-Bulk. Energies are from PBE-GGA.

abc: 9.8608 9.8608 9.8608
angles: 21.32 21.32 21.32
With the nearest neighbours (Å) after each atom.
Fractional positions:
Se1 0.8867 0.8867 0.8867  3 W 2.61
Se2 0.1133 0.1133 0.1133  3 W 2.61
W1 0.5000 0.5000 0.5000  6 Se 2.61
Ba1 0.0000 0.0000 0.0000  2 Se 3.27, 6 Ba 3.65

Computed properties:
Crystal system: trigonal
SG: R-3m (166)

=====

# 3
Here is CdP2Se6 after structural relaxation from Alexandria via LeMat-Bulk. Energies are from PBE-GGA.

abc: 6.1268 9.6580 9.6580
angles: 90.28 71.82 71.82
With the nearest neighbours (Å) after each atom.
Fractional positions:
P1 0.7820 0.3603 0.1963  4 Se 2.18-2.33
P2 0.7180 0.8037 0.6397  4 Se 2.18-2.33
P3 0.2820 0.1963 0.3603  4 Se 2.18-2.33
P4 0.2180 0.6397 0.8037  4 Se 2.18-2.33
Se1 0.0592 0.4093 0.2879  2 P 2.31-2.33
Se2 0.5891 0.5759 0.1458  1 P 2.19
Se3 0.9408 0.5907 0.7121  2 P 2.31-2.33
Se4 0.4408 0.7121 0.5907  2 P 2.31-2.33
Se5 0.0891 0.1458 0.5759  1 P 2.19
Se6 0.1114 0.8181 0.9758  1 P 2.18
Se7 0.3886 0.0242 0.1819  1 P 2.18
Se8 0.6114 0.9758 0.8181  1 P 2.18
Se9 0.9109 0.8542 0.4241  1 P 2.19
Se10 0.5592 0.2879 0.4093  2 P 2.31-2.33
Se11 0.4109 0.4241 0.8542  1 P 2.19
Se12 0.8886 0.1819 0.0242  1 P 2.18
Cd1 0.7500 0.7836 0.2164  4 Se 2.67-2.77
Cd2 0.2500 0.2164 0.7836  4 Se 2.67-2.77

Computed properties:
Crystal system: monoclinic
SG: C2/c (15)

=====

# 4
Here is Rb2LiIO6 after structural relaxation from Alexandria via LeMat-Bulk. Energies are from PBE-GGA.

abc: 6.0502 6.0502 6.0502
angles: 60.00 60.00 60.00
With the nearest neighbours (Å) after each atom.
Fractional positions:
I1 0.0000 0.0000 0.0000  6 O 1.89
Li1 0.5000 0.5000 0.5000  6 O 2.38
O1 0.2214 0.7786 0.7786  1 I 1.89
O2 0.7786 0.2214 0.2214  1 I 1.89
O3 0.7786 0.2214 0.7786  1 I 1.89
O4 0.7786 0.7786 0.2214  1 I 1.89
O5 0.2214 0.7786 0.2214  1 I 1.89
O6 0.2214 0.2214 0.7786  1 I 1.89
Rb1 0.2500 0.2500 0.2500  12 O 3.03
Rb2 0.7500 0.7500 0.7500  12 O 3.03

Computed properties:
Crystal system: cubic
SG: Fm-3m (225)

=====

no.,formation energy (no corrections) (eV/atom),raw total energy (eV per atom)
1,-1.28,-5.471
2,-0.10,-5.562
3,-0.11,-3.739
4,-0.89,-4.406